Material: LaP2PdS
Method: DFT, GGA-PBE
State: relaxed

Total magnetization in μB per formula unit: 0.00
Formation energy (no corrections) in meV per atom: -444
Distance to the lowest polymorph of the same formula in meV per atom: 0
DOS(E_F) in states/eV per cell: 4.4

a = 4.6397 Å, b = 4.6397 Å, c = 4.9426 Å
α = 90.00°, β = 90.00°, γ = 90.00°
Closest atoms and distances in Å follow each position.
Space group P4/mmm (No. 123)
One atom of each set of equivalent atoms:
La (0.0000, 0.0000, 0.0000)  4 S 3.28, 8 P 3.39
P (0.0000, 0.5000, 0.5000)  2 Pd 2.32
Pd (0.5000, 0.5000, 0.5000)  4 P 2.32, 2 S 2.47
S (0.5000, 0.5000, 0.0000)  2 Pd 2.47